Record 1
Material: CaYRh
Method: DFT, GGA-PBE
State: relaxed

Values from the calculation:
As for the volume: 150.7 Å³/cell. Its space group is Cmcm, No. 63. The calculation puts the magnetic moment at 0.00 μB/f.u.

Structure (extended XYZ):
```
6
Lattice="4.0296 0.0000 -0.8566 0.0000 5.4310 0.0000 -0.6140 0.0000 7.0174" Properties=species:S:1:pos:R:3 pbc="T T T"
Ca 0.1475 4.0732 0.6939
Rh 2.3463 1.3577 1.1309
Ca 3.2680 1.3577 5.4669
Y 2.7272 4.0732 2.9231
Rh 1.0693 4.0732 5.0299
Y 0.6883 1.3577 3.2377
```

---

Record 2
Material: Ca2Y2Rh
Method: DFT, GGA-PBE
State: relaxed

Values from the calculation:
As for the volume: 315.8 Å³/cell. Its space group is P4/mbm, No. 127. The calculation puts the magnetic moment at 0.00 μB/f.u.

Structure (extended XYZ):
```
10
Lattice="7.2173 0.0000 0.0000 0.0000 7.2173 0.0000 0.0000 0.0000 6.0636" Properties=species:S:1:pos:R:3 pbc="T T T"
Rh 3.6086 3.6086 0.0000
Y 1.1965 2.4121 0.0000
Rh 0.0000 0.0000 0.0000
Y 2.4121 6.0207 0.0000
Y 6.0207 4.8052 0.0000
Y 4.8052 1.1965 0.0000
Ca 2.3390 1.2697 3.0318
Ca 1.2697 4.8783 3.0318
Ca 4.8783 5.9476 3.0318
Ca 5.9476 2.3390 3.0318
```

---

Record 3
Material: CaY3Rh4
Method: DFT, GGA-PBE
State: relaxed

Values from the calculation:
As for the volume: 322.9 Å³/cell. Its space group is P4/mmm, No. 123. The calculation puts the magnetic moment at 0.00 μB/f.u.

Structure (extended XYZ):
```
16
Lattice="4.8627 0.0000 0.0000 0.0000 6.8265 0.0000 0.0000 0.0000 9.7259" Properties=species:S:1:pos:R:3 pbc="T T T"
Rh 2.4314 1.6633 0.0000
Rh 4.8623 5.1631 7.2944
Y 0.0000 0.0000 4.8629
Rh 2.4314 1.6633 4.8629
Rh 4.8623 1.6634 7.2944
Rh 0.0004 1.6634 2.4315
Y 2.4319 3.4133 2.4315
Y 2.4308 3.4133 7.2944
Rh 0.0004 5.1631 2.4315
Y 2.4307 0.0000 7.2944
Y 2.4321 0.0000 2.4315
Rh 2.4314 5.1632 0.0000
Y 0.0000 0.0000 0.0000
Ca 0.0000 3.4133 0.0000
Ca 0.0000 3.4133 4.8629
Rh 2.4314 5.1632 4.8629
```

---

Record 4
Material: CaYRh
Method: DFT, GGA-PBE
State: relaxed

Values from the calculation:
As for the volume: 89.4 Å³/cell. Its space group is P3m1, No. 156. The calculation puts the magnetic moment at 0.00 μB/f.u.

Structure (extended XYZ):
```
3
Lattice="-2.5476 -2.7741 -1.2422 3.4651 0.4886 -1.8664 2.7876 -4.3656 4.0326" Properties=species:S:1:pos:R:3 pbc="T T T"
Ca 0.2361 -0.3697 0.3415
Y 3.0447 -3.0794 0.6328
Rh 0.4244 -3.2021 -0.0503
```

---

Record 5
Material: CaYRh3
Method: DFT, GGA-PBE
State: relaxed

Values from the calculation:
As for the volume: 122.4 Å³/cell. Its space group is Pm-3m, No. 221. The calculation puts the magnetic moment at 0.33 μB/f.u.

Structure (extended XYZ):
```
5
Lattice="4.9652 0.0000 0.0000 0.0000 4.9652 0.0000 0.0000 0.0000 4.9652" Properties=species:S:1:pos:R:3 pbc="T T T"
Rh 0.0000 2.4826 0.0000
Rh 0.0000 0.0000 2.4826
Y 0.0000 0.0000 0.0000
Ca 2.4826 2.4826 2.4826
Rh 2.4826 0.0000 0.0000
```

---

Record 6
Material: Ca2YRh2
Method: DFT, GGA-PBE
State: relaxed

Values from the calculation:
As for the volume: 230.1 Å³/cell. Its space group is P4/mbm, No. 127. The calculation puts the magnetic moment at 0.00 μB/f.u.

Structure (extended XYZ):
```
10
Lattice="-3.1647 6.4326 3.6294 -6.4238 -0.4485 -4.8064 -1.6167 -2.1265 2.3592" Properties=species:S:1:pos:R:3 pbc="T T T"
Rh -6.4198 1.7779 -2.7970
Y -4.7942 2.9921 -0.5885
Ca -8.3616 2.6608 -0.6399
Rh -6.9157 5.0700 -0.1693
Ca -5.3526 -0.4559 -1.3871
Y 0.0000 0.0000 0.0000
Ca -5.8526 4.3136 2.5694
Rh -3.1686 4.2063 1.6200
Ca -2.8436 1.1969 1.8221
Rh -2.6727 0.9141 -1.0076
```

---

Record 7
Material: CaYRh
Method: DFT, GGA-PBE
State: relaxed

Values from the calculation:
As for the volume: 78.7 Å³/cell. Its space group is I4mm, No. 107. The calculation puts the magnetic moment at 0.00 μB/f.u.

Structure (extended XYZ):
```
3
Lattice="-3.8715 -5.6882 1.5069 -2.3151 -6.4883 -1.4680 2.1729 -2.0769 1.6963" Properties=species:S:1:pos:R:3 pbc="T T T"
Rh -0.5374 -5.3514 1.1589
Y -3.7622 -9.2475 0.5196
Ca -5.9005 -11.8309 0.0957
```

---

Record 8
Material: Ca2Y2Rh3
Method: DFT, GGA-PBE
State: relaxed

Values from the calculation:
As for the volume: 163.3 Å³/cell. Its space group is R-3m, No. 166. The calculation puts the magnetic moment at 0.00 μB/f.u.

Structure (extended XYZ):
```
7
Lattice="-2.7611 2.8646 2.7253 -2.0235 -3.4735 -2.6657 3.2520 -5.9331 5.2643" Properties=species:S:1:pos:R:3 pbc="T T T"
Ca -1.8114 -4.5787 2.9780
Rh -2.1040 -2.5342 0.5318
Rh 0.5713 -4.0078 4.7922
Ca 0.2788 -1.9633 2.3460
Rh 0.0000 0.0000 0.0000
Y -2.4218 0.0913 1.7173
Y 0.8891 -6.6333 3.6067
```

---

Record 9
Material: Ca3YRh8
Method: DFT, GGA-PBE
State: relaxed

Values from the calculation:
As for the volume: 216.5 Å³/cell. Its space group is R3m, No. 160. The calculation puts the magnetic moment at 0.00 μB/f.u.

Structure (extended XYZ):
```
12
Lattice="5.1150 0.0000 1.5441 2.3244 4.5563 1.5441 -0.0128 -0.0078 9.2865" Properties=species:S:1:pos:R:3 pbc="T T T"
Rh 5.1028 3.1252 10.8285
Ca 3.6999 2.2660 6.2316
Ca -0.0004 -0.0002 9.2452
Rh 1.3891 0.8508 4.6425
Ca 2.7766 1.7005 9.2903
Rh 4.4191 4.2671 8.4881
Rh 5.8001 1.9908 3.8822
Rh 6.9672 4.2671 9.2573
Y 6.5060 3.9846 6.1801
Rh 5.8093 1.9973 8.4881
Rh 3.2505 1.9908 3.1126
Rh 4.4091 4.2619 3.8822
```

---

Record 10
Material: CaZn2Rh
Method: DFT, GGA-PBE
State: relaxed

Values from the calculation:
As for the volume: 616.2 Å³/cell. Its space group is Pnma, No. 62. The calculation puts the magnetic moment at 0.00 μB/f.u.

Structure (extended XYZ):
```
32
Lattice="5.6031 0.0000 0.0000 0.0000 7.1384 0.0000 0.0000 0.0000 15.4055" Properties=species:S:1:pos:R:3 pbc="T T T"
Rh 5.5189 1.7846 1.0899
Zn 3.0605 0.3864 10.9635
Rh 1.2193 1.7846 4.8135
Ca 1.3972 5.3538 1.6054
Rh 0.0842 5.3538 14.3156
Zn 5.3442 3.1828 3.2607
Ca 2.9663 5.3538 13.2650
Zn 5.3442 0.3864 3.2607
Ca 4.2059 1.7846 13.8001
Zn 4.0818 6.6858 8.3706
Rh 2.7173 5.3538 6.6128
Rh 1.5822 1.7846 12.5163
Zn 3.0605 3.1828 10.9635
Zn 2.5426 6.7520 4.4420
Zn 4.3229 4.0219 0.6678
Zn 2.5426 3.9556 4.4420
Zn 4.3229 6.6858 0.6678
Zn 4.0818 4.0219 8.3706
Rh 4.0209 5.3538 2.8893
Ca 1.4044 5.3538 9.3081
Ca 0.1647 1.7846 9.8433
Ca 4.1988 1.7846 6.0974
Zn 1.5213 3.1166 7.0349
Ca 2.6368 1.7846 2.1405
Rh 4.3838 5.3538 10.5920
Zn 1.5213 0.4527 7.0349
Rh 2.8858 1.7846 8.7927
Ca 5.4384 5.3538 5.5623
Zn 0.2589 3.9556 12.1448
Zn 1.2802 0.4527 14.7377
Zn 1.2802 3.1166 14.7377
Zn 0.2589 6.7520 12.1448
```

---

Record 11
Material: CaZn3Rh
Method: DFT, GGA-PBE
State: relaxed

Values from the calculation:
As for the volume: 145.7 Å³/cell. Its space group is Pm-3m, No. 221. The calculation puts the magnetic moment at 0.92 μB/f.u.

Structure (extended XYZ):
```
5
Lattice="-1.8620 3.8834 3.0241 1.4969 -2.6333 4.3032 4.6888 2.3828 -0.1729" Properties=species:S:1:pos:R:3 pbc="T T T"
Zn 2.3444 1.1914 -0.0864
Zn 0.7485 -1.3167 2.1516
Rh 2.1619 1.8164 3.5772
Ca 0.0000 0.0000 0.0000
Zn -0.9310 1.9417 1.5120
```

---

Record 12
Material: Ca2ZnRh
Method: DFT, GGA-PBE
State: relaxed

Values from the calculation:
As for the volume: 111.1 Å³/cell. Its space group is Cm, No. 8. The calculation puts the magnetic moment at 0.00 μB/f.u.

Structure (extended XYZ):
```
4
Lattice="-2.7755 -3.2054 0.9115 -0.0183 -3.6086 -2.4068 3.6853 -5.0687 3.6789" Properties=species:S:1:pos:R:3 pbc="T T T"
Ca -1.6595 -4.4819 -0.1651
Zn 1.7423 -6.5409 2.9133
Rh 2.6723 -7.8908 1.0210
Ca -0.3908 -8.0803 1.3269
```

---

Number 1: raw total energy -33.9 eV for the cell shown, theoretical density 5.1 g/cm³. Number 2: raw total energy -49.8 eV for the cell shown, theoretical density 3.8 g/cm³. Number 3: raw total energy -113.3 eV for the cell shown, theoretical density 7.4 g/cm³. Number 4: raw total energy -16.9 eV for the cell shown, theoretical density 4.3 g/cm³. Number 5: raw total energy -28.1 eV for the cell shown, theoretical density 5.9 g/cm³. Number 6: raw total energy -54.1 eV for the cell shown, theoretical density 5.4 g/cm³. Number 7: raw total energy -17.3 eV for the cell shown, theoretical density 4.9 g/cm³. Number 8: raw total energy -43.1 eV for the cell shown, theoretical density 5.8 g/cm³. Number 9: raw total energy -77.5 eV for the cell shown, theoretical density 7.9 g/cm³. Number 10: raw total energy -109.3 eV for the cell shown, theoretical density 5.9 g/cm³. Number 11: raw total energy -6.3 eV for the cell shown, theoretical density 3.9 g/cm³. Number 12: raw total energy -14.1 eV for the cell shown, theoretical density 3.7 g/cm³.